Below is a geometry-optimized CrCo2Os structure, with properties calculated at the GGA-PBE level.

Calculated values
SG: Cmmm, No. 65
Excess energy over the best structure of this formula in the dataset, meV/atom: 77
Density, g/cm3: 12.7
Energy of formation, eV/atom: 0.089
Total DFT energy (no corrections), eV/cell: -34.709
N(E_F), states/eV/atom: 1.0919

POSCAR file:
```
CrCo2Os
1.0
2.5265 -3.6441 0.0000
2.5265 3.6441 0.0000
0.0000 0.0000 2.5576
Cr Co Os
1 2 1
direct
0.0000 0.0000 0.0000 Cr
0.0000 0.5000 0.5000 Co
0.5000 0.0000 0.5000 Co
0.5000 0.5000 0.0000 Os
```